# 1
Lu2NiC PBE-GGA relaxed; theoretical density = 10.047 g/cm3; final energy = -6.25 eV/atom; size of the total moment = 0.00 μB per formula unit; space-group type = C2/c (15)
1.0
-4.671 3.616 0.941
-3.428 -0.737 4.846
10.683 7.457 4.912
Lu C Ni
12 6 6
direct
0.301 0.137 0.906
0.699 0.863 0.094
0.373 0.536 0.107
0.137 0.301 0.406
0.799 0.970 0.406
0.863 0.699 0.594
0.201 0.030 0.594
0.627 0.464 0.893
0.536 0.373 0.607
0.030 0.201 0.094
0.970 0.799 0.906
0.464 0.627 0.393
0.500 0.000 0.500
0.000 0.500 0.000
0.823 0.339 0.500
0.177 0.661 0.500
0.339 0.823 0.000
0.661 0.177 0.000
0.923 0.077 0.250
0.584 0.902 0.750
0.902 0.584 0.250
0.416 0.098 0.250
0.098 0.416 0.750
0.077 0.923 0.750

---

# 2
FePdPbW PBE-GGA relaxed; theoretical density = 13.785 g/cm3; final energy = -6.94 eV/atom; size of the total moment = 0.73 μB per formula unit; space-group type = F-43m (216)
1.0
0.000 3.218 3.218
3.218 0.000 3.218
3.218 3.218 0.000
W Pd Fe Pb
1 1 1 1
direct
0.500 0.500 0.500
0.250 0.250 0.250
0.750 0.750 0.750
0.000 0.000 0.000

---

# 3
DyYB2Ir2C2 PBE-GGA relaxed; theoretical density = 10.418 g/cm3; final energy = -8.06 eV/atom; size of the total moment = 0.00 μB per formula unit; space-group type = P4mm (99)
1.0
3.735 0.000 0.000
0.000 3.735 0.000
0.000 0.000 7.786
Dy C B Ir Y
1 2 2 2 1
direct
0.500 0.500 0.161
0.500 0.500 0.853
0.000 0.000 0.147
0.500 0.500 0.659
0.000 0.000 0.341
0.500 0.000 0.500
0.000 0.500 0.500
0.000 0.000 0.839

---

# 4
HoThRe PBE-GGA relaxed; theoretical density = 12.047 g/cm3; final energy = -7.05 eV/atom; size of the total moment = 0.10 μB per formula unit; space-group type = F-43m (216)
1.0
-1.895 -4.310 1.139
-4.807 -0.595 0.054
-2.147 -2.681 -3.416
Th Ho Re
1 1 1
direct
0.750 0.750 0.750
0.000 0.000 0.000
0.500 0.500 0.500

---

# 5
Ho2Ge5Pt3 PBE-GGA relaxed; theoretical density = 11.180 g/cm3; final energy = -5.79 eV/atom; size of the total moment = 0.00 μB per formula unit; space-group type = Ibam (72)
1.0
0.114 8.399 -0.288
-1.970 0.064 -8.171
-4.728 -2.167 3.541
Ho Ge Pt
4 10 6
direct
0.911 0.643 0.277
0.089 0.357 0.723
0.357 0.089 0.223
0.643 0.911 0.777
0.000 0.000 0.250
0.274 0.726 0.250
0.242 0.446 0.344
0.726 0.274 0.750
0.726 0.274 0.250
0.758 0.554 0.656
0.446 0.242 0.844
0.554 0.758 0.156
0.274 0.726 0.750
0.000 0.000 0.750
0.500 0.500 0.250
0.256 0.973 0.614
0.973 0.256 0.114
0.500 0.500 0.750
0.744 0.027 0.386
0.027 0.744 0.886

---

# 6
Li2Tb2Ni15 PBE-GGA relaxed; theoretical density = 8.399 g/cm3; final energy = -5.32 eV/atom; size of the total moment = 4.81 μB per formula unit; space-group type = R-3m (166)
1.0
0.263 -2.348 5.789
3.341 -5.091 -1.418
5.598 2.348 1.497
Tb Ni Li
2 15 2
direct
0.657 0.657 0.657
0.343 0.343 0.343
0.696 0.000 0.304
0.696 0.304 0.000
0.657 0.657 0.158
0.304 0.696 0.000
0.343 0.343 0.842
0.500 0.000 0.000
0.657 0.158 0.657
0.000 0.304 0.696
0.000 0.500 0.000
0.842 0.343 0.343
0.304 0.000 0.696
0.158 0.657 0.657
0.000 0.000 0.500
0.000 0.696 0.304
0.343 0.842 0.343
0.093 0.093 0.093
0.907 0.907 0.907

---

# 7
NbTc2Os PBE-GGA relaxed; theoretical density = 12.888 g/cm3; final energy = -10.37 eV/atom; size of the total moment = 0.03 μB per formula unit; space-group type = F-43m (216)
1.0
0.000 3.137 3.137
3.137 0.000 3.137
3.137 3.137 0.000
Tc Nb Os
2 1 1
direct
0.250 0.250 0.250
0.500 0.500 0.500
0.000 0.000 0.000
0.750 0.750 0.750

---

# 8
NaHfTlNi PBE-GGA relaxed; theoretical density = 10.840 g/cm3; final energy = -4.60 eV/atom; size of the total moment = 0.00 μB per formula unit; space-group type = F-43m (216)
1.0
0.000 3.289 3.289
3.289 0.000 3.289
3.289 3.289 0.000
Na Hf Ni Tl
1 1 1 1
direct
0.750 0.750 0.750
0.500 0.500 0.500
0.250 0.250 0.250
0.000 0.000 0.000

---

# 9
Ho2SbS PBE-GGA relaxed; theoretical density = 7.890 g/cm3; final energy = -5.79 eV/atom; size of the total moment = 0.01 μB per formula unit; space-group type = P4/mmm (123)
1.0
-3.407 1.682 1.696
-2.377 -2.091 -2.701
-0.339 -4.493 3.776
S Ho Sb
1 2 1
direct
0.000 0.000 0.000
0.000 0.000 0.500
0.500 0.500 0.000
0.500 0.500 0.500

---

# 10
HoLuFe2Cl2 PBE-GGA relaxed; theoretical density = 6.469 g/cm3; final energy = -6.02 eV/atom; size of the total moment = 1.33 μB per formula unit; space-group type = P3m1 (156)
1.0
3.761 0.000 0.000
-1.881 3.257 0.000
0.000 0.000 10.949
Cl Fe Lu Ho
2 2 1 1
direct
0.667 0.333 0.835
0.333 0.667 0.160
0.667 0.333 0.493
0.333 0.667 0.513
0.000 0.000 0.680
0.000 0.000 0.320

---

# 11
Sr2BeAg PBE-GGA relaxed; theoretical density = 4.981 g/cm3; final energy = -2.12 eV/atom; space-group type = F-43m (216)
1.0
0.000 3.652 3.652
3.652 0.000 3.652
3.652 3.652 0.000
Ag Sr Be
1 2 1
direct
0.500 0.500 0.500
0.250 0.250 0.250
0.000 0.000 0.000
0.750 0.750 0.750

---

# 12
LaZnInO3 PBE-GGA relaxed; theoretical density = 5.823 g/cm3; final energy = -5.93 eV/atom; size of the total moment = 0.00 μB per formula unit; space-group type = Cmcm (63)
1.0
3.655 0.000 0.000
1.827 6.948 0.000
0.000 0.000 8.246
Zn La O In
2 2 6 2
direct
0.673 0.654 0.250
0.327 0.346 0.750
0.000 0.000 0.000
0.000 0.000 0.500
0.609 0.782 0.045
0.609 0.782 0.455
0.391 0.218 0.955
0.916 0.169 0.250
0.084 0.831 0.750
0.391 0.218 0.545
0.324 0.352 0.250
0.676 0.648 0.750